Density functional theory data (PBE-GGA) for PtSN3 after structural relaxation.

Calculated values
* final energy: -4.809 eV/atom
* mass density: 7.48 g/cm3
* SG: Pm-3m, No. 221

a b c (Å): 3.9091 3.9091 3.9091
angles (deg): 90.00 90.00 90.00
Closest atoms and distances in Å follow each position.
Fractional coordinates of all 5 atoms:
S (0.5000, 0.5000, 0.5000)  12 N 2.76
Pt (0.0000, 0.0000, 0.0000)  6 N 1.95
N (0.0000, 0.5000, 0.0000)  2 Pt 1.95
N (0.0000, 0.0000, 0.5000)  2 Pt 1.95
N (0.5000, 0.0000, 0.0000)  2 Pt 1.95

Density functional theory data (PBE-GGA) for PtS3N after structural relaxation.

Calculated values
* final energy: -4.008 eV/atom
* mass density: 7.40 g/cm3
* SG: Pm-3m, No. 221

a b c (Å): 4.0916 4.0916 4.0916
angles (deg): 90.00 90.00 90.00
Closest atoms and distances in Å follow each position.
Fractional coordinates of all 5 atoms:
S (0.0000, 0.5000, 0.0000)  2 N 2.05
S (0.0000, 0.0000, 0.5000)  2 N 2.05
S (0.5000, 0.0000, 0.0000)  2 N 2.05
Pt (0.5000, 0.5000, 0.5000)  12 S 2.89
N (0.0000, 0.0000, 0.0000)  6 S 2.05

Density functional theory data (PBE-GGA) for Pt2SN after structural relaxation.

Calculated values
* final energy: -5.662 eV/atom
* mass density: 11.27 g/cm3
* SG: I-42d, No. 122

a b c (Å): 4.6388 4.6388 6.8164
angles (deg): 70.11 70.11 90.00
Closest atoms and distances in Å follow each position.
Fractional coordinates of all 8 atoms:
S (0.0000, 0.0000, 0.0000)  4 Pt 2.44
S (0.7500, 0.2500, 0.5000)  4 Pt 2.44
Pt (0.5419, 0.1250, 0.2500)  2 N 2.04
Pt (0.2081, 0.6250, 0.2500)  2 N 2.04
Pt (0.3750, 0.4581, 0.7500)  2 N 2.04
Pt (0.8750, 0.7919, 0.7500)  2 N 2.04
N (0.5000, 0.5000, 0.0000)  4 Pt 2.04
N (0.2500, 0.7500, 0.5000)  4 Pt 2.04

Which total magnetization belongs to each record? In order, 1.97, 0.00, 0.00 μB/cell.